Material: Dy3SbSe6
Method: DFT, PBE
State: relaxed

## Properties
Spin magnetization (μB per cell): 0.00
Relative energy among the computed polymorphs (meV per atom): 0.0
E_form (uncorrected) (eV per atom): -1.432

abc: 11.8746 4.1446 11.9014
angles: 90.00 109.57 90.00
Last column: nearest neighbours and their distance in Å.
Space group P2_1/m (No. 11)
One atom of each set of equivalent atoms:
Dy: 0.0101 0.2500 0.3363  5 Se 2.79-2.97
Dy: 0.3342 0.7500 0.4288  6 Se 2.83-2.92
Dy: 0.4276 0.2500 0.8413  6 Se 2.83-2.91
Sb: 0.1831 0.7500 0.9952  3 Se 2.71-2.81
Se: 0.0267 0.2500 0.8815  2 Sb 2.81
Se: 0.1208 0.7500 0.4901  4 Dy 2.79-2.97
Se: 0.2200 0.2500 0.2688  3 Dy 2.83-2.86
Se: 0.2455 0.7500 0.7964  1 Sb 2.71, 3 Dy 2.91-2.92
Se: 0.4018 0.2500 0.0743  3 Dy 2.84-2.89
Se: 0.4372 0.2500 0.6069  4 Dy 2.83-2.92